1.
# Ti3NbCo2

A relaxed Ti3NbCo2 crystal (PBE-GGA, Alexandria).

Structure (POSCAR):
```
Ti3NbCo2
1.0
3.0099 0.0000 0.0000
0.0000 3.0099 0.0000
0.0000 0.0000 9.6815
Ti Nb Co
3 1 2
Direct
0.0000 0.0000 0.0000
0.0000 0.0000 0.3013
0.0000 0.0000 0.6987
0.5000 0.5000 0.5000
0.5000 0.5000 0.1485
0.5000 0.5000 0.8515
```

The calculation puts the formation energy at -253.3 meV per atom. Its total energy is -49.486 eV per cell. The density of states at the Fermi level is 5.60 states/eV/cell. Its energy above the most stable polymorph in this dataset is 0.000 eV per atom. The value obtained for the spin magnetization is 0.000 μB per atom.



2.
# Li2CaPrAs2

A relaxed Li2CaPrAs2 crystal (PBE-GGA, Alexandria).

Structure (POSCAR):
```
Li2CaPrAs2
1.0
4.3591 0.0000 0.0000
-2.1796 3.7751 0.0000
0.0000 0.0000 7.7183
Li Ca Pr As
2 1 1 2
Direct
0.3333 0.6667 0.2318
0.6667 0.3333 0.7682
0.0000 0.0000 0.0000
0.0000 0.0000 0.5000
0.3333 0.6667 0.7544
0.6667 0.3333 0.2456
```

The calculation puts the formation energy at -1012.1 meV per atom. Its total energy is -25.980 eV per cell. The density of states at the Fermi level is 2.17 states/eV/cell. The value obtained for the spin magnetization is 0.000 μB per atom.



3.
# SrYZr2

A relaxed SrYZr2 crystal (PBE-GGA, Alexandria).

Structure (POSCAR):
```
SrYZr2
1.0
3.3805 -5.0889 0.0000
3.3805 5.0889 0.0000
0.0000 0.0000 3.3481
Sr Y Zr
1 1 2
Direct
0.0000 0.0000 0.0000
0.5000 0.5000 0.0000
0.0000 0.5000 0.5000
0.5000 0.0000 0.5000
```

The calculation puts the formation energy at 439.4 meV per atom. Its total energy is -23.485 eV per cell. The density of states at the Fermi level is 5.53 states/eV/cell. Its energy above the most stable polymorph in this dataset is 0.210 eV per atom. The value obtained for the spin magnetization is 0.000 μB per atom.



4.
# Rb2H2S2O

A relaxed Rb2H2S2O crystal (PBE-GGA, Alexandria).

Structure (POSCAR):
```
Rb2H2S2O
1.0
-2.2425 3.7004 4.5187
2.2425 -3.7004 4.5187
2.2425 3.7004 -4.5187
Rb H S O
2 2 2 1
Direct
0.2487 0.2487 0.0000
0.7513 0.7513 0.0000
0.1312 0.5000 0.6312
0.8688 0.5000 0.3688
0.3563 0.0000 0.3563
0.6437 0.0000 0.6437
0.0000 0.5000 0.5000
```

Its total energy is -27.492 eV per cell. The density of states at the Fermi level is 0.00 states/eV/cell. The value obtained for the spin magnetization is 0.000 μB per atom.



spin magnetization of number 3 (SrYZr2)? 0.000 μB per atom